(1)
Computed, not measured: crystalline Cu2PbIO6 at its relaxed geometry at the PBE level of DFT.

Cell and atoms, written as extended XYZ:
```
20
Lattice="4.539 -5.360 0.000 4.539 5.360 0.000 -0.186 0.000 5.713" Properties=species:S:1:pos:R:3 pbc="T T T"
Cu 1.665 0.957 1.697
Cu 1.571 -0.957 4.553
Cu 7.320 0.957 1.160
Cu 7.227 -0.957 4.016
Pb 4.399 1.316 4.285
Pb 4.492 -1.316 1.428
I 4.492 3.249 1.428
I 4.399 -3.249 4.285
O 1.132 0.732 3.664
O 3.450 3.157 5.395
O 3.324 1.853 2.142
O 1.225 -0.732 0.807
O 5.349 3.157 3.174
O 5.661 1.853 0.714
O 3.231 -1.853 4.998
O 3.543 -3.157 2.538
O 7.666 0.732 4.905
O 5.568 -1.853 3.571
O 5.442 -3.157 0.318
O 7.759 -0.732 2.049
```

* spin magnetization: 2.06 μB/cell
* space group: C2/c (15)
* energy: -4.81 eV/atom
* DOS(E_F): 7.45 states/eV/cell

(2)
Computed, not measured: crystalline Er3ZnPd at its relaxed geometry at the PBE level of DFT.

Cell and atoms, written as extended XYZ:
```
10
Lattice="4.780 -7.419 0.000 4.780 7.419 0.000 0.000 0.000 3.718" Properties=species:S:1:pos:R:3 pbc="T T T"
Er 4.780 5.058 0.000
Er 2.961 1.677 1.859
Er 2.961 -1.677 1.859
Er 6.600 1.677 1.859
Er 6.600 -1.677 1.859
Er 4.780 -5.058 0.000
Zn 0.000 0.000 1.859
Zn 4.780 0.000 0.000
Pd 2.390 3.710 0.000
Pd 2.390 -3.710 0.000
```

* spin magnetization: 0.00 μB/cell
* energy relative to the lowest polymorph listed for this composition: 181 meV/atom
* space group: Cmmm (65)
* energy: -4.34 eV/atom
* DOS(E_F): 8.64 states/eV/cell

(3)
Computed, not measured: crystalline LiHgPt4 at its relaxed geometry at the PBE level of DFT.

Cell and atoms, written as extended XYZ:
```
6
Lattice="0.000 3.762 3.762 3.762 0.000 3.762 3.762 3.762 0.000" Properties=species:S:1:pos:R:3 pbc="T T T"
Li 0.000 0.000 0.000
Hg 1.881 1.881 1.881
Pt 4.705 2.820 2.820
Pt 2.820 4.705 2.820
Pt 2.820 2.820 4.705
Pt 4.705 4.705 4.705
```

* spin magnetization: 0.00 μB/cell
* space group: F-43m (216)
* energy: -4.59 eV/atom
* DOS(E_F): 5.13 states/eV/cell

(4)
Computed, not measured: crystalline ScAs5 at its relaxed geometry at the PBE level of DFT.

Cell and atoms, written as extended XYZ:
```
6
Lattice="5.398 -1.882 0.000 5.398 1.882 0.000 -3.083 0.000 6.357" Properties=species:S:1:pos:R:3 pbc="T T T"
Sc 0.000 0.000 0.000
As 0.654 0.000 3.707
As 2.997 0.000 0.286
As 2.983 0.000 4.378
As 6.372 0.000 1.962
As 8.809 0.000 2.151
```

* spin magnetization: 0.00 μB/cell
* energy relative to the lowest polymorph listed for this composition: 0 meV/atom
* space group: Cm (8)
* energy: -5.15 eV/atom
* DOS(E_F): 0.91 states/eV/cell

(5)
Computed, not measured: crystalline Pm8TlBi3Te4 at its relaxed geometry at the PBE level of DFT.

Cell and atoms, written as extended XYZ:
```
16
Lattice="4.529 2.615 7.357 -4.529 2.615 7.357 0.000 -5.230 7.357" Properties=species:S:1:pos:R:3 pbc="T T T"
Pm 0.000 0.000 5.495
Pm 0.000 -2.574 9.232
Pm -2.229 1.287 9.232
Pm -2.229 -1.287 12.839
Pm 2.229 1.287 9.232
Pm 2.229 -1.287 12.839
Pm 0.000 2.574 12.839
Pm 0.000 0.000 16.576
Tl 0.000 0.000 11.036
Bi -4.529 0.000 11.035
Bi -2.265 1.307 3.678
Bi 2.265 1.307 3.679
Te 0.000 0.000 0.000
Te -2.265 -1.307 7.357
Te -2.265 1.307 14.714
Te 0.000 2.615 7.357
```

* spin magnetization: 0.00 μB/cell
* space group: R-3m (166)
* energy: -5.16 eV/atom
* DOS(E_F): 2.83 states/eV/cell

(6)
Computed, not measured: crystalline Na3Sr5H12 at its relaxed geometry at the PBE level of DFT.

Cell and atoms, written as extended XYZ:
```
80
Lattice="-7.076 7.076 7.076 7.076 -7.076 7.076 7.076 7.076 -7.076" Properties=species:S:1:pos:R:3 pbc="T T T"
Na 3.538 1.769 0.000
Na 7.076 3.538 -1.769
Na 1.769 0.000 3.538
Na 8.845 0.000 3.538
Na 0.000 3.538 1.769
Na 3.538 -1.769 7.076
Na 3.538 8.845 0.000
Na 7.076 3.538 5.307
Na -1.769 7.076 3.538
Na 5.307 7.076 3.538
Na 0.000 3.538 8.845
Na 3.538 5.307 7.076
Sr 0.000 0.000 0.000
Sr 3.538 3.538 -3.538
Sr 3.538 -3.538 3.538
Sr 7.076 0.000 0.000
Sr 10.614 1.769 0.000
Sr 7.076 -3.538 5.307
Sr 5.307 7.076 -3.538
Sr 5.307 0.000 3.538
Sr 3.538 5.307 0.000
Sr 7.076 3.538 1.769
Sr -3.538 3.538 3.538
Sr 0.000 7.076 0.000
Sr 0.000 0.000 7.076
Sr 3.538 3.538 3.538
Sr 0.000 3.538 5.307
Sr 3.538 1.769 7.076
Sr 1.769 7.076 3.538
Sr 1.769 0.000 10.614
Sr 0.000 10.614 1.769
Sr -3.538 5.307 7.076
H 5.792 -2.649 3.357
H 11.897 -0.181 0.889
H 5.792 4.427 -3.357
H 4.821 0.181 0.889
H 7.256 6.187 -4.821
H 3.357 -1.283 2.649
H 2.649 3.357 -1.283
H 7.965 2.254 -0.181
H 4.427 -3.357 5.792
H 6.187 -4.821 7.256
H 3.357 5.792 -2.649
H 7.256 0.889 2.254
H 7.256 -0.889 4.821
H 10.433 1.283 2.649
H 4.427 3.357 1.283
H 6.187 4.821 -0.181
H 0.889 4.821 0.181
H 9.725 3.718 1.283
H 0.181 0.889 4.821
H 3.357 1.283 4.427
H -1.283 2.649 3.357
H 4.821 -0.181 6.187
H 4.821 7.256 -0.889
H 5.792 2.649 3.718
H 1.283 4.427 3.357
H 2.254 -0.181 7.965
H 2.254 7.256 0.889
H 8.359 4.427 3.718
H 3.718 5.792 2.649
H 6.895 6.187 2.254
H -2.649 3.357 5.792
H 6.187 2.254 6.895
H 0.889 2.254 7.256
H 2.649 3.718 5.792
H -3.357 5.792 4.427
H -0.181 7.965 2.254
H -0.181 6.187 4.821
H 3.718 1.283 9.725
H 0.889 11.897 -0.181
H 2.649 10.433 1.283
H -0.889 4.821 7.256
H 4.427 3.718 8.359
H 3.718 8.359 4.427
H -0.181 0.889 11.897
H 2.254 6.895 6.187
H 1.283 2.649 10.433
H -4.821 7.256 6.187
H 1.283 9.725 3.718
```

* spin magnetization: 4.09 μB/cell
* space group: Ia-3d (230)
* energy: -2.97 eV/atom
* DOS(E_F): 10.05 states/eV/cell

Question: Among the records above, which one has the highest DOS(E_F)?
Answer: Na3Sr5H12

Please write out number 1 again, unchanged.
Computed, not measured: crystalline Cu2PbIO6 at its relaxed geometry at the PBE level of DFT.

Cell and atoms, written as extended XYZ:
```
20
Lattice="4.539 -5.360 0.000 4.539 5.360 0.000 -0.186 0.000 5.713" Properties=species:S:1:pos:R:3 pbc="T T T"
Cu 1.665 0.957 1.697
Cu 1.571 -0.957 4.553
Cu 7.320 0.957 1.160
Cu 7.227 -0.957 4.016
Pb 4.399 1.316 4.285
Pb 4.492 -1.316 1.428
I 4.492 3.249 1.428
I 4.399 -3.249 4.285
O 1.132 0.732 3.664
O 3.450 3.157 5.395
O 3.324 1.853 2.142
O 1.225 -0.732 0.807
O 5.349 3.157 3.174
O 5.661 1.853 0.714
O 3.231 -1.853 4.998
O 3.543 -3.157 2.538
O 7.666 0.732 4.905
O 5.568 -1.853 3.571
O 5.442 -3.157 0.318
O 7.759 -0.732 2.049
```

* spin magnetization: 2.06 μB/cell
* space group: C2/c (15)
* energy: -4.81 eV/atom
* DOS(E_F): 7.45 states/eV/cell

Question: The highest DOS(E_F) belongs to which entry?
Answer: Na3Sr5H12

Question: Which of these has the highest spin magnetization?
Answer: Na3Sr5H12